This record from the Alexandria database describes Na2TlCoF6 after structural relaxation. The functional is PBE+U.

Output
- volume (Å³/atom) = 16.802
- E (eV/atom) = -4.20
- Fermi-level density of states (states/eV per atom) = 0.0000
- polymorph energy (0 for the lowest one) (meV per atom) = 142

Geometry as CIF:
```
data_Na2TlCoF6
_space_group_name_H-M_alt 'P 1'
_space_group_IT_number 1
_cell_length_a 6.194
_cell_length_b 6.194
_cell_length_c 6.194
_cell_angle_alpha 60.00
_cell_angle_beta 60.00
_cell_angle_gamma 60.00
loop_
_space_group_symop_operation_xyz
'x,y,z'
loop_
_atom_site_label
_atom_site_type_symbol
_atom_site_fract_x
_atom_site_fract_y
_atom_site_fract_z
Na1 Na 0.250 0.250 0.250
Na2 Na 0.750 0.750 0.750
Tl1 Tl 0.500 0.500 0.500
Co1 Co 0.000 0.000 0.000
F1 F 0.213 0.213 0.787
F2 F 0.213 0.787 0.787
F3 F 0.787 0.787 0.213
F4 F 0.213 0.787 0.213
F5 F 0.787 0.213 0.787
F6 F 0.787 0.213 0.213
```